Entry 1:
This record from Alexandria describes crystalline SmMgPdPb at its relaxed geometry. The functional is PBE.

Calculated values
The calculation puts the formation energy at -0.49 eV per atom. The calculation puts the density at 8.7 Mg/m³.

a b c (Å): 5.085 5.085 5.085
angles (deg): 60.00 60.00 60.00
Fractional positions:
1 Pb 0.500 0.500 0.500
2 Mg 0.750 0.750 0.750
3 Pd 0.000 0.000 0.000
4 Sm 0.250 0.250 0.250



Entry 2:
This record from Alexandria describes crystalline Mg5Sn2Pd2Pb at its relaxed geometry. The functional is PBE.

Calculated values
The calculation puts the formation energy at -0.30 eV per atom. The calculation puts the density at 6.1 Mg/m³.

a b c (Å): 4.335 9.918 9.918
angles (deg): 90.00 90.00 90.00
Fractional positions:
1 Mg 0.500 0.210 0.080
2 Mg 0.500 0.790 0.920
3 Mg 0.500 0.080 0.790
4 Mg 0.500 0.710 0.420
5 Mg 0.500 0.920 0.210
6 Mg 0.500 0.290 0.580
7 Mg 0.500 0.580 0.710
8 Mg 0.500 0.420 0.290
9 Mg 0.500 0.500 0.000
10 Mg 0.500 0.000 0.500
11 Sn 0.000 0.671 0.171
12 Sn 0.000 0.329 0.829
13 Sn 0.000 0.171 0.329
14 Sn 0.000 0.829 0.671
15 Pd 0.000 0.122 0.622
16 Pd 0.000 0.878 0.378
17 Pd 0.000 0.622 0.878
18 Pd 0.000 0.378 0.122
19 Pb 0.000 0.000 0.000
20 Pb 0.000 0.500 0.500



Record-wise total magnetization values, in μB per formula unit: 0.00 0.00